Entry 1:
BaAcSb2: optimized geometry, PBE.

Summary:
Formation energy from raw total energies, eV/atom: -0.911
Space group: No. 160
E above lowest polymorph, meV per atom: 72
Fermi-level density of states, states/eV/atom: 1.06

POSCAR file:
```
BaAcSb2
1.0
4.992 0.000 0.000
2.496 4.323 0.000
2.496 1.441 7.931
Ba Sb Ac
1 2 1
Direct
0.669 0.669 0.992
0.241 0.241 0.276
0.091 0.091 0.726
0.498 0.498 0.507
```

Entry 2:
BaAc3Sb4: optimized geometry, PBE.

Summary:
Formation energy from raw total energies, eV/atom: -1.098
Space group: No. 65
E above lowest polymorph, meV per atom: 0
Fermi-level density of states, states/eV/atom: 0.76

POSCAR file:
```
BaAc3Sb4
1.0
-1.105 1.024 4.601
0.283 -8.185 1.889
7.619 3.379 1.078
Ac Ba Sb
3 1 4
Direct
0.000 0.500 0.000
0.500 0.500 0.500
0.000 0.000 0.500
0.500 0.000 0.000
0.000 0.260 0.260
0.500 0.254 0.746
0.500 0.746 0.254
0.000 0.740 0.740
```

Entry 3:
BaAc2Sb: optimized geometry, PBE.

Summary:
Formation energy from raw total energies, eV/atom: -0.433
Space group: No. 160
E above lowest polymorph, meV per atom: 0
Fermi-level density of states, states/eV/atom: 1.44

POSCAR file:
```
BaAc2Sb
1.0
-0.861 4.332 0.739
-3.764 1.836 -1.584
-6.911 -0.651 9.337
Sb Ac Ba
1 2 1
Direct
0.666 0.666 0.001
0.060 0.060 0.820
0.273 0.273 0.180
0.500 0.500 0.499
```